Entry 1:
## K5Tm2F12 (PBE)

Data for a relaxed K5Tm2F12 crystal.

The space group is C2/m (No. 12) and the conventional cell measures 13.218, 7.937 and 6.621 Å, with angles of 90.00, 96.85 and 90.00 degrees. The distinct sites, in fractional coordinates, are K at (0.000, 0.000, 0.000), K at (0.146, 0.500, 0.034), K at (0.242, 0.000, 0.460), Tm at (0.000, 0.256, 0.500), F at (0.053, 0.500, 0.356), F at (0.069, 0.000, 0.632), F at (0.102, 0.199, 0.269) and F at (0.134, 0.305, 0.720).

The calculation puts the uncorrected formation energy at -60.83 eV per formula unit. The value obtained for the density of states at the Fermi level is 27.33 states/eV/cell.

---

Entry 2:
## Ti5P2C (PBE)

Data for a relaxed Ti5P2C crystal.

The space group is Cmcm (No. 63) and the conventional cell measures 4.667, 9.192 and 11.395 Å, with angles of 90.00, 90.00 and 90.00 degrees. The distinct sites, in fractional coordinates, are Ti at (0.000, 0.056, 0.125), Ti at (0.000, 0.289, 0.750), Ti at (0.000, 0.375, 0.119), P at (0.000, 0.195, 0.553) and C at (0.000, 0.222, 0.250).

As for the formation energy: -0.621 eV/atom. The value obtained for the density of states at the Fermi level is 23.10 states/eV/cell.

---

Entry 3:
## CoTe6Ir2 (PBE)

Data for a relaxed CoTe6Ir2 crystal.

The space group is P4_2/mnm (No. 136) and the conventional cell measures 6.080, 6.080 and 12.344 Å, with angles of 90.00, 90.00 and 90.00 degrees. The distinct sites, in fractional coordinates, are Co at (0.000, 0.000, 0.000), Te at (0.190, 0.190, 0.162), Te at (0.201, 0.201, 0.500) and Ir at (0.000, 0.000, 0.334).

The calculation puts the uncorrected formation energy at 0.00 eV per formula unit. The value obtained for the density of states at the Fermi level is 17.48 states/eV/cell. The relative energy among the computed polymorphs comes out at 182.5 meV/atom.

---

Entry 4:
## LuHfZr2 (PBE)

Data for a relaxed LuHfZr2 crystal.

The space group is P4/mmm (No. 123) and the conventional cell measures 3.776, 3.776 and 6.807 Å, with angles of 90.00, 90.00 and 90.00 degrees. The distinct sites, in fractional coordinates, are Lu at (0.000, 0.000, 0.000), Hf at (0.000, 0.000, 0.500) and Zr at (0.500, 0.500, 0.283).

As for the formation energy: 0.106 eV/atom. The value obtained for the density of states at the Fermi level is 5.33 states/eV/cell. The relative energy among the computed polymorphs comes out at 13.4 meV/atom.

---

Entry 5:
## CsRb2CdHg2 (PBE)

Data for a relaxed CsRb2CdHg2 crystal.

The space group is Pmc2_1 (No. 26) and the conventional cell measures 5.117, 10.880 and 10.078 Å, with angles of 90.00, 90.00 and 90.00 degrees. The distinct sites, in fractional coordinates, are Cs at (0.000, 0.071, 0.000), Rb at (0.000, 0.301, 0.422), Rb at (0.500, 0.419, 0.077), Cd at (0.500, 0.215, 0.714), Hg at (0.000, 0.370, 0.780) and Hg at (0.500, 0.077, 0.271).

As for the formation energy: -0.147 eV/atom. The value obtained for the density of states at the Fermi level is 7.36 states/eV/cell.

---

Entry 6:
## ZrGeBi (PBE)

Data for a relaxed ZrGeBi crystal.

The space group is R-3m (No. 166, hexagonal axes) and the conventional cell measures 4.5384, 4.5384 and 25.8313 Å, with angles of 90.00, 90.00 and 120.00 degrees. The distinct sites, in fractional coordinates, are Zr at (0.0000, 0.0000, 0.0598), Ge at (0.0000, 0.0000, 0.3360) and Bi at (0.0000, 0.0000, 0.2128).

As for the formation energy: -0.105 eV/atom. The value obtained for the density of states at the Fermi level is 8.35 states/eV/cell.

---

Entry 7:
## Ni2OsRh (PBE)

Data for a relaxed Ni2OsRh crystal.

The space group is R-3m (No. 166, hexagonal axes) and the conventional cell measures 2.6605, 2.6605 and 25.2309 Å, with angles of 90.00, 90.00 and 120.00 degrees. The distinct sites, in fractional coordinates, are Ni at (0.0000, 0.0000, 0.2491), Os at (0.0000, 0.0000, 0.5000) and Rh at (0.0000, 0.0000, 0.0000).

As for the formation energy: 0.128 eV/atom. The value obtained for the density of states at the Fermi level is 19.56 states/eV/cell.

---

Entry 8:
## Ce2Dy3HoAs6 (PBE)

Data for a relaxed Ce2Dy3HoAs6 crystal.

The space group is C2/m (No. 12) and the conventional cell measures 18.062, 4.151 and 8.295 Å, with angles of 90.00, 103.22 and 90.00 degrees. The distinct sites, in fractional coordinates, are Ce at (0.166, 0.000, 0.331), Dy at (0.000, 0.500, 0.500), Dy at (0.166, 0.000, 0.834), Ho at (0.000, 0.500, 0.000), As at (0.001, 0.000, 0.751), As at (0.166, 0.500, 0.080) and As at (0.166, 0.500, 0.586).

As for the formation energy: -1.499 eV/atom. The value obtained for the density of states at the Fermi level is 22.80 states/eV/cell.

---

Values of VASP energy, in order: -5.1431; -8.0606; -4.8535; -7.7867; -0.8653; -5.7876; -7.4083; -6.3446, all in eV/atom.